Entry 1:
First-principles (PBE) data for a relaxed GaCuRePt crystal, as listed in OQMD via LeMat-Bulk.

Values from the calculation:
* calculated volume: 59 Å³/cell
* crystal system: cubic
* offset from the most stable computed form: 0.000 eV/atom

Cell: 4.358 4.358 4.358 Å, 60.00 60.00 60.00°
Fractional positions:
Cu (0.750, 0.750, 0.750)
Ga (0.000, 0.000, 0.000)
Pt (0.500, 0.500, 0.500)
Re (0.250, 0.250, 0.250)

Entry 2:
First-principles (PBE) data for a relaxed GaCuSiPt crystal, as listed in OQMD via LeMat-Bulk.

Values from the calculation:
* calculated volume: 57 Å³/cell
* crystal system: cubic
* offset from the most stable computed form: 0.000 eV/atom

Cell: 4.331 4.331 4.331 Å, 60.00 60.00 60.00°
Fractional positions:
Cu (0.750, 0.750, 0.750)
Ga (0.500, 0.500, 0.500)
Pt (0.250, 0.250, 0.250)
Si (0.000, 0.000, 0.000)

Entry 3:
First-principles (PBE) data for a relaxed GaCuSiPt crystal, as listed in OQMD via LeMat-Bulk.

Values from the calculation:
* calculated volume: 59 Å³/cell
* crystal system: cubic
* offset from the most stable computed form: 0.109 eV/atom

Cell: 4.365 4.365 4.365 Å, 60.00 60.00 60.00°
Fractional positions:
Cu (0.750, 0.750, 0.750)
Ga (0.000, 0.000, 0.000)
Pt (0.500, 0.500, 0.500)
Si (0.250, 0.250, 0.250)

Entry 4:
First-principles (PBE) data for a relaxed SmGa2CuPt crystal, as listed in OQMD via LeMat-Bulk.

Values from the calculation:
* calculated volume: 186 Å³/cell
* crystal system: tetragonal
* offset from the most stable computed form: 0.000 eV/atom

Cell: 4.260 4.260 10.255 Å, 90.00 90.00 90.00°
Fractional positions:
Cu (0.000, 0.000, 0.000)
Cu (0.500, 0.500, 0.000)
Ga (0.500, 0.000, 0.120)
Ga (0.000, 0.000, 0.500)
Ga (0.500, 0.500, 0.500)
Ga (0.000, 0.500, 0.880)
Pt (0.500, 0.000, 0.362)
Pt (0.000, 0.500, 0.638)
Sm (0.000, 0.500, 0.247)
Sm (0.500, 0.000, 0.753)

Entry 5:
First-principles (PBE) data for a relaxed SmGa2CuPt crystal, as listed in OQMD via LeMat-Bulk.

Values from the calculation:
* calculated volume: 180 Å³/cell
* crystal system: tetragonal
* offset from the most stable computed form: 0.024 eV/atom

Cell: 4.160 4.160 10.400 Å, 90.00 90.00 90.00°
Fractional positions:
Cu (0.000, 0.500, 0.371)
Cu (0.500, 0.000, 0.629)
Ga (0.000, 0.500, 0.143)
Ga (0.000, 0.000, 0.500)
Ga (0.500, 0.500, 0.500)
Ga (0.500, 0.000, 0.857)
Pt (0.000, 0.000, 0.000)
Pt (0.500, 0.500, 0.000)
Sm (0.500, 0.000, 0.254)
Sm (0.000, 0.500, 0.746)

Entry 6:
First-principles (PBE) data for a relaxed SrGa2CuPt crystal, as listed in OQMD via LeMat-Bulk.

Values from the calculation:
* calculated volume: 198 Å³/cell
* crystal system: tetragonal
* energy: -4.109 eV per atom

Cell: 4.445 4.445 10.043 Å, 90.00 90.00 90.00°
Fractional positions:
Cu (0.000, 0.000, 0.000)
Cu (0.500, 0.500, 0.000)
Ga (0.500, 0.000, 0.114)
Ga (0.000, 0.000, 0.500)
Ga (0.500, 0.500, 0.500)
Ga (0.000, 0.500, 0.886)
Pt (0.500, 0.000, 0.368)
Pt (0.000, 0.500, 0.632)
Sr (0.000, 0.500, 0.245)
Sr (0.500, 0.000, 0.755)

Entry 7:
First-principles (PBE) data for a relaxed SrGa5CuPt crystal, as listed in OQMD via LeMat-Bulk.

Values from the calculation:
* calculated volume: 152 Å³/cell
* crystal system: orthorhombic
* energy: -3.777 eV per atom

Cell: 6.541 6.541 6.541 Å, 143.22 111.79 80.08°
Fractional positions:
Cu (0.755, 0.755, 0.000)
Ga (0.993, 0.993, 0.000)
Ga (0.960, 0.654, 0.306)
Ga (0.663, 0.351, 0.312)
Ga (0.039, 0.351, 0.688)
Ga (0.348, 0.654, 0.694)
Pt (0.240, 0.240, 0.000)
Sr (0.503, 0.003, 0.500)

Entry 8:
First-principles (PBE) data for a relaxed TbGa2CuPt crystal, as listed in OQMD via LeMat-Bulk.

Values from the calculation:
* calculated volume: 182 Å³/cell
* crystal system: tetragonal
* offset from the most stable computed form: 0.000 eV/atom

Cell: 4.172 4.172 10.467 Å, 90.00 90.00 90.00°
Fractional positions:
Cu (0.000, 0.000, 0.000)
Cu (0.500, 0.500, 0.000)
Ga (0.500, 0.000, 0.122)
Ga (0.000, 0.000, 0.500)
Ga (0.500, 0.500, 0.500)
Ga (0.000, 0.500, 0.878)
Pt (0.500, 0.000, 0.359)
Pt (0.000, 0.500, 0.641)
Tb (0.000, 0.500, 0.246)
Tb (0.500, 0.000, 0.754)

Entry 9:
First-principles (PBE) data for a relaxed TbGa2CuPt crystal, as listed in OQMD via LeMat-Bulk.

Values from the calculation:
* calculated volume: 177 Å³/cell
* crystal system: tetragonal
* offset from the most stable computed form: 0.023 eV/atom

Cell: 4.109 4.109 10.459 Å, 90.00 90.00 90.00°
Fractional positions:
Cu (0.000, 0.500, 0.368)
Cu (0.500, 0.000, 0.632)
Ga (0.000, 0.500, 0.144)
Ga (0.000, 0.000, 0.500)
Ga (0.500, 0.500, 0.500)
Ga (0.500, 0.000, 0.856)
Pt (0.000, 0.000, 0.000)
Pt (0.500, 0.500, 0.000)
Tb (0.500, 0.000, 0.251)
Tb (0.000, 0.500, 0.749)

Entry 10:
First-principles (PBE) data for a relaxed TmGa2CuPt4 crystal, as listed in OQMD via LeMat-Bulk.

Values from the calculation:
* calculated volume: 127 Å³/cell
* crystal system: tetragonal
* energy: -5.488 eV per atom

Cell: 4.155 4.155 7.339 Å, 90.00 90.00 90.00°
Fractional positions:
Cu (0.000, 0.000, 0.000)
Ga (0.500, 0.500, 0.000)
Ga (0.000, 0.000, 0.500)
Pt (0.500, 0.000, 0.232)
Pt (0.000, 0.500, 0.232)
Pt (0.500, 0.000, 0.768)
Pt (0.000, 0.500, 0.768)
Tm (0.500, 0.500, 0.500)

Entry 11:
First-principles (PBE) data for a relaxed Tm2Ga4CuPt crystal, as listed in OQMD via LeMat-Bulk.

Values from the calculation:
* calculated volume: 150 Å³/cell
* crystal system: orthorhombic
* energy: -4.288 eV per atom

Cell: 6.211 7.068 7.068 Å, 28.85 90.00 90.00°
Fractional positions:
Cu (0.000, 0.952, 0.952)
Ga (0.281, 0.408, 0.408)
Ga (0.719, 0.408, 0.408)
Ga (0.222, 0.598, 0.598)
Ga (0.778, 0.598, 0.598)
Pt (0.500, 0.029, 0.029)
Tm (0.000, 0.237, 0.237)
Tm (0.500, 0.770, 0.770)

Entry 12:
First-principles (PBE) data for a relaxed GaCuPtW crystal, as listed in OQMD via LeMat-Bulk.

Values from the calculation:
* calculated volume: 60 Å³/cell
* crystal system: cubic
* offset from the most stable computed form: 0.000 eV/atom

Cell: 4.383 4.383 4.383 Å, 60.00 60.00 60.00°
Fractional positions:
Cu (0.750, 0.750, 0.750)
Ga (0.000, 0.000, 0.000)
Pt (0.500, 0.500, 0.500)
W (0.250, 0.250, 0.250)

Entry 13:
First-principles (PBE) data for a relaxed GaCuPtW crystal, as listed in OQMD via LeMat-Bulk.

Values from the calculation:
* calculated volume: 60 Å³/cell
* crystal system: cubic
* offset from the most stable computed form: 0.053 eV/atom

Cell: 4.384 4.384 4.384 Å, 60.00 60.00 60.00°
Fractional positions:
Cu (0.750, 0.750, 0.750)
Ga (0.000, 0.000, 0.000)
Pt (0.250, 0.250, 0.250)
W (0.500, 0.500, 0.500)

Entry 14:
First-principles (PBE) data for a relaxed YGa2CuPt crystal, as listed in OQMD via LeMat-Bulk.

Values from the calculation:
* calculated volume: 182 Å³/cell
* crystal system: tetragonal
* energy: -5.166 eV per atom

Cell: 4.139 4.139 10.607 Å, 90.00 90.00 90.00°
Fractional positions:
Cu (0.000, 0.000, 0.000)
Cu (0.500, 0.500, 0.000)
Ga (0.500, 0.000, 0.123)
Ga (0.000, 0.000, 0.500)
Ga (0.500, 0.500, 0.500)
Ga (0.000, 0.500, 0.877)
Pt (0.500, 0.000, 0.358)
Pt (0.000, 0.500, 0.642)
Y (0.000, 0.500, 0.248)
Y (0.500, 0.000, 0.752)

Entry 15:
First-principles (PBE) data for a relaxed RbGaCuS3 crystal, as listed in OQMD via LeMat-Bulk.

Values from the calculation:
* calculated volume: 283 Å³/cell
* crystal system: monoclinic
* energy: -3.943 eV per atom

Cell: 8.351 3.606 10.226 Å, 90.00 113.10 90.00°
Fractional positions:
Cu (0.911, 0.750, 0.399)
Cu (0.089, 0.250, 0.601)
Ga (0.667, 0.250, 0.109)
Ga (0.333, 0.750, 0.891)
Rb (0.246, 0.250, 0.274)
Rb (0.754, 0.750, 0.726)
S (0.474, 0.750, 0.139)
S (0.878, 0.750, 0.162)
S (0.792, 0.250, 0.465)
S (0.208, 0.750, 0.535)
S (0.122, 0.250, 0.838)
S (0.526, 0.250, 0.861)

Entry 16:
First-principles (PBE) data for a relaxed RbGaCuSe3 crystal, as listed in OQMD via LeMat-Bulk.

Values from the calculation:
* calculated volume: 322 Å³/cell
* crystal system: monoclinic
* energy: -3.574 eV per atom

Cell: 8.787 3.767 10.590 Å, 90.00 113.35 90.00°
Fractional positions:
Cu (0.923, 0.750, 0.405)
Cu (0.077, 0.250, 0.595)
Ga (0.667, 0.250, 0.113)
Ga (0.333, 0.750, 0.887)
Rb (0.244, 0.250, 0.277)
Rb (0.756, 0.750, 0.723)
Se (0.473, 0.750, 0.143)
Se (0.881, 0.750, 0.161)
Se (0.781, 0.250, 0.455)
Se (0.219, 0.750, 0.545)
Se (0.119, 0.250, 0.839)
Se (0.527, 0.250, 0.857)

Entry 17:
First-principles (PBE) data for a relaxed GaCu2Re crystal, as listed in OQMD via LeMat-Bulk.

Values from the calculation:
* calculated volume: 54 Å³/cell
* crystal system: cubic
* energy: -5.373 eV per atom

Cell: 4.233 4.233 4.233 Å, 60.00 60.00 60.00°
Last column: magnetic moment on the atom in μB.
Fractional positions:
Cu (0.000, 0.000, 0.000)  0.08
Cu (0.750, 0.750, 0.750)  0.04
Ga (0.500, 0.500, 0.500)  0.00
Re (0.250, 0.250, 0.250)  0.89

Entry 18:
First-principles (PBE) data for a relaxed GaCuRe2 crystal, as listed in OQMD via LeMat-Bulk.

Values from the calculation:
* calculated volume: 56 Å³/cell
* crystal system: cubic
* energy: -7.693 eV per atom

Cell: 4.302 4.302 4.302 Å, 60.00 60.00 60.00°
Fractional positions:
Cu (0.250, 0.250, 0.250)
Ga (0.500, 0.500, 0.500)
Re (0.000, 0.000, 0.000)
Re (0.750, 0.750, 0.750)

Entry 19:
First-principles (PBE) data for a relaxed GaCuRe crystal, as listed in OQMD via LeMat-Bulk.

Values from the calculation:
* calculated volume: 51 Å³/cell
* crystal system: cubic
* energy: -5.551 eV per atom

Cell: 4.171 4.171 4.171 Å, 60.00 60.00 60.00°
Fractional positions:
Cu (0.250, 0.250, 0.250)
Ga (0.750, 0.750, 0.750)
Re (0.000, 0.000, 0.000)

Entry 20:
First-principles (PBE) data for a relaxed ScGaCuRe crystal, as listed in OQMD via LeMat-Bulk.

Values from the calculation:
* calculated volume: 62 Å³/cell
* crystal system: cubic
* offset from the most stable computed form: 0.000 eV/atom

Cell: 4.441 4.441 4.441 Å, 60.00 60.00 60.00°
Fractional positions:
Cu (0.750, 0.750, 0.750)
Ga (0.000, 0.000, 0.000)
Re (0.250, 0.250, 0.250)
Sc (0.500, 0.500, 0.500)